! AgCl | OQMD | GGA-PBE | relaxed; values from VASP
&SYSTEM
  ibrav = 0, nat = 2, ntyp = 2
/
ATOMIC_SPECIES
Ag 107.87 Ag.upf
Cl 35.45 Cl.upf
CELL_PARAMETERS angstrom
2.8456 1.4910 2.3185
-0.8927 1.3361 3.6213
1.1986 -2.0024 3.2014
ATOMIC_POSITIONS crystal
Ag 0.0000 0.0000 0.0000
Cl 0.5000 0.5000 0.5000
! Calculated volume, Å³/atom: 21.985
! Electronic total energy, eV per cell: -5.534